Entry 1:
PaTiZn6 | PBE-GGA | relaxed

Lattice parameters (Å, degrees): 6.705 6.705 5.402 51.64 51.64 60.00
Atoms (fractional coordinates):
Pa1 0.500 0.500 0.500
Ti1 0.000 0.000 0.000
Zn1 0.141 0.141 0.205
Zn2 0.141 0.513 0.205
Zn3 0.487 0.859 0.795
Zn4 0.859 0.487 0.795
Zn5 0.859 0.859 0.795
Zn6 0.513 0.141 0.205

Summary:
Crystal system: trigonal
D(E_F) in states/eV per cell: 6.271
Energy of formation in eV/atom: 0.12
Space group: R-3m (166)



Entry 2:
Pr3HoN4 | PBE-GGA | relaxed

Lattice parameters (Å, degrees): 6.292 6.294 7.275 90.00 90.00 109.45
Atoms (fractional coordinates):
Pr1 0.750 0.000 0.371
Pr2 0.250 0.000 0.629
Pr3 0.750 0.500 0.630
Pr4 0.750 0.500 0.124
Pr5 0.250 0.500 0.370
Pr6 0.250 0.500 0.876
Ho1 0.750 0.000 0.875
Ho2 0.250 0.000 0.125
N1 0.992 0.245 0.637
N2 0.503 0.240 0.877
N3 0.492 0.245 0.363
N4 0.003 0.240 0.123
N5 0.997 0.760 0.877
N6 0.508 0.755 0.637
N7 0.497 0.760 0.123
N8 0.008 0.755 0.363

Summary:
ΔE_f (raw) in eV/atom: -1.37
Crystal system: monoclinic
D(E_F) in states/eV per cell: 1.539
Space group: P2/c (13)



Entry 3:
PdRuPt | PBE-GGA | relaxed

Lattice parameters (Å, degrees): 2.769 2.769 20.313 90.00 90.00 120.00
Atoms (fractional coordinates):
Pd1 0.000 0.000 0.393
Pd2 0.333 0.667 0.059
Pd3 0.667 0.333 0.726
Ru1 0.000 0.000 0.950
Ru2 0.333 0.667 0.617
Ru3 0.667 0.333 0.284
Pt1 0.000 0.000 0.176
Pt2 0.333 0.667 0.843
Pt3 0.667 0.333 0.510

Summary:
Crystal system: trigonal
D(E_F) in states/eV per cell: 14.508
Energy of formation in eV/atom: 0.09
Space group: R3m (160)



Entry 4:
Ta2ZnFeOs | PBE-GGA | relaxed

Lattice parameters (Å, degrees): 4.473 4.333 4.473 90.00 90.00 90.00
Atoms (fractional coordinates):
Zn1 0.000 0.500 0.000
Os1 0.500 0.500 0.500
Fe1 0.000 0.000 0.000
Ta1 0.000 0.000 0.500
Ta2 0.500 0.000 0.000

Summary:
Crystal system: tetragonal
D(E_F) in states/eV per cell: 5.054
Energy of formation in eV/atom: 0.98
Space group: P4/mmm (123)



Entry 5:
ScNi2Os | PBE-GGA | relaxed

Lattice parameters (Å, degrees): 4.749 4.749 4.749 133.19 133.19 68.35
Atoms (fractional coordinates):
Ni1 0.000 0.000 0.000
Ni2 0.250 0.750 0.500
Os1 0.500 0.500 0.000
Sc1 0.750 0.250 0.500

Summary:
Crystal system: tetragonal
D(E_F) in states/eV per cell: 4.722
Energy of formation in eV/atom: -0.04
Space group: I-4m2 (119)



Entry 6:
La6NdDyTh2 | PBE-GGA | relaxed

Lattice parameters (Å, degrees): 10.700 8.802 8.802 117.58 97.48 97.48
Atoms (fractional coordinates):
La1 0.044 0.106 0.741
La2 0.456 0.259 0.894
La3 0.956 0.894 0.259
La4 0.544 0.741 0.106
La5 0.331 0.989 0.436
La6 0.169 0.564 0.011
La7 0.669 0.011 0.564
La8 0.831 0.436 0.989
La9 0.116 0.687 0.492
La10 0.384 0.508 0.313
La11 0.884 0.313 0.508
La12 0.616 0.492 0.687
Nd1 0.250 0.991 0.009
Nd2 0.750 0.009 0.991
Dy1 0.250 0.402 0.598
Dy2 0.750 0.598 0.402
Th1 0.455 0.817 0.737
Th2 0.045 0.263 0.183
Th3 0.545 0.183 0.263
Th4 0.955 0.737 0.817

Summary:
Crystal system: monoclinic
D(E_F) in states/eV per cell: 31.834
Energy of formation in eV/atom: 0.13
Space group: C2/c (15)